(1)
TaSiBi2: relaxed, GGA-PBE.

## Properties
The calculation puts the formation energy from raw total energies at 1030.0 meV/atom. Its magnetization is 0.292 μB/atom.

Cell: 7.953 7.953 7.953 Å, 131.80 131.80 70.54°
Fractional positions:
Ta 0.000 0.000 0.000
Ta 0.750 0.250 0.500
Si 0.250 0.750 0.500
Si 0.500 0.500 0.000
Bi 0.124 0.625 0.999
Bi 0.375 0.374 0.499
Bi 0.626 0.125 0.001
Bi 0.875 0.876 0.501


(2)
Pr3Sm6Er2In: relaxed, GGA-PBE.

## Properties
Its formation enthalpy at 0 K is -0.030 eV/atom. Its magnetization is 0.000 μB/atom.

Cell: 6.255 6.255 11.808 Å, 95.15 95.15 120.17°
Fractional positions:
Pr 0.000 0.000 0.000
Pr 0.331 0.669 0.000
Pr 0.669 0.331 0.000
Sm 0.095 0.421 0.259
Sm 0.253 0.253 0.743
Sm 0.421 0.095 0.259
Sm 0.579 0.905 0.741
Sm 0.747 0.747 0.257
Sm 0.905 0.579 0.741
Er 0.166 0.834 0.500
Er 0.834 0.166 0.500
In 0.500 0.500 0.500


(3)
ReBPb2O: relaxed, GGA-PBE.

## Properties
The calculation puts the formation energy from raw total energies at 770.6 meV/atom. Its magnetization is 0.000 μB/atom.

Cell: 5.416 5.416 2.983 Å, 90.00 90.00 90.00°
Fractional positions:
Re 0.000 0.000 0.000
B 0.500 0.500 0.000
Pb 0.000 0.500 0.500
Pb 0.500 0.000 0.500
O 0.500 0.500 0.500


(4)
La2V2N3: relaxed, GGA-PBE.

## Properties
The calculation puts the formation energy from raw total energies at -1126.9 meV/atom. Its magnetization is 0.000 μB/atom.

Cell: 6.199 6.199 5.743 Å, 116.46 116.46 31.60°
Fractional positions:
La 0.103 0.103 0.310
La 0.897 0.897 0.690
V 0.336 0.336 0.173
V 0.664 0.664 0.827
N 0.246 0.246 0.783
N 0.500 0.500 0.500
N 0.754 0.754 0.217


(5)
Nd4As2SBr: relaxed, GGA-PBE.

## Properties
The calculation puts the formation energy from raw total energies at -1596.6 meV/atom. Its magnetization is 0.000 μB/atom.

Cell: 7.313 4.220 7.397 Å, 90.00 109.19 90.00°
Fractional positions:
Nd 0.230 0.000 0.227
Nd 0.240 0.500 0.762
Nd 0.760 0.500 0.238
Nd 0.770 0.000 0.773
As 0.000 0.000 0.500
As 0.000 0.500 0.000
S 0.500 0.000 0.000
Br 0.500 0.500 0.500


(6)
Rb2ZrPbCl6: relaxed, GGA-PBE.

## Properties
The calculation puts the formation energy from raw total energies at -1474.2 meV/atom. Its magnetization is 0.199 μB/atom.

Cell: 8.071 8.071 8.071 Å, 123.08 123.08 84.74°
Fractional positions:
Rb 0.250 0.750 0.500
Rb 0.750 0.250 0.500
Zr 0.000 0.000 0.000
Pb 0.500 0.500 0.000
Cl 0.214 0.214 0.000
Cl 0.236 0.236 0.472
Cl 0.236 0.764 0.000
Cl 0.764 0.236 0.000
Cl 0.764 0.764 0.528
Cl 0.786 0.786 0.000


(7)
Tb2CuGe4Rh3: relaxed, GGA-PBE.

## Properties
Its formation enthalpy at 0 K is -0.733 eV/atom. Its magnetization is 0.000 μB/atom.

Cell: 4.219 4.219 10.096 Å, 90.00 90.00 90.00°
Fractional positions:
Tb 0.000 0.500 0.246
Tb 0.500 0.000 0.754
Cu 0.000 0.000 0.500
Ge 0.000 0.000 0.000
Ge 0.000 0.500 0.631
Ge 0.500 0.000 0.369
Ge 0.500 0.500 0.000
Rh 0.000 0.500 0.871
Rh 0.500 0.000 0.129
Rh 0.500 0.500 0.500


(8)
CaHgTeI2: relaxed, GGA-PBE.

## Properties
The calculation puts the formation energy from raw total energies at -334.5 meV/atom. The calculation puts the energy above the most stable polymorph in this dataset at 147 meV/atom. Its magnetization is 0.000 μB/atom.

Cell: 5.815 5.815 5.824 Å, 90.00 90.00 90.00°
Fractional positions:
Ca 0.000 0.000 0.000
Hg 0.500 0.500 0.500
Te 0.500 0.500 0.000
I 0.000 0.500 0.500
I 0.500 0.000 0.500


(9)
HfBe2GePt: relaxed, GGA-PBE.

## Properties
Its formation enthalpy at 0 K is 1.570 eV/atom. Its magnetization is 0.000 μB/atom.

Cell: 4.519 4.519 4.953 Å, 90.00 90.00 90.00°
Fractional positions:
Hf 0.000 0.000 0.000
Be 0.000 0.500 0.000
Be 0.500 0.000 0.000
Ge 0.000 0.000 0.500
Pt 0.500 0.500 0.500


(10)
LiCuSiNi: relaxed, GGA-PBE.

## Properties
The calculation puts the formation energy from raw total energies at -340.5 meV/atom. Its magnetization is 0.000 μB/atom.

Cell: 3.993 3.993 3.993 Å, 60.00 60.00 60.00°
Fractional positions:
Li 0.000 0.000 0.000
Cu 0.250 0.250 0.250
Si 0.500 0.500 0.500
Ni 0.750 0.750 0.750


(11)
PaCoAs2: relaxed, GGA-PBE.

## Properties
Its formation enthalpy at 0 K is -0.500 eV/atom. Its magnetization is 0.000 μB/atom.

Cell: 4.493 4.493 3.948 Å, 91.30 91.30 103.59°
Fractional positions:
Pa 0.000 0.000 0.000
Co 0.597 0.597 0.325
As 0.063 0.505 0.507
As 0.505 0.063 0.507


(12)
Ce3GeBr2: relaxed, GGA-PBE.

## Properties
The calculation puts the formation energy from raw total energies at -1059.2 meV/atom. Its magnetization is 0.446 μB/atom.

Cell: 7.238 7.238 7.238 Å, 145.00 131.26 61.41°
Fractional positions:
Ce 0.000 0.000 0.000
Ce 0.340 0.340 0.000
Ce 0.660 0.660 0.000
Ge 0.500 0.000 0.500
Br 0.166 0.666 0.500
Br 0.834 0.334 0.500


(13)
Ba3Ta2S8: relaxed, GGA-PBE.

## Properties
The calculation puts the formation energy from raw total energies at -1539.6 meV/atom. The calculation puts the energy above the most stable polymorph in this dataset at 0 meV/atom. Its magnetization is 0.000 μB/atom.

Cell: 12.160 6.938 12.751 Å, 90.00 109.24 90.00°
Fractional positions:
Ba 0.000 0.000 0.000
Ba 0.095 0.000 0.365
Ba 0.222 0.500 0.657
Ba 0.317 0.500 0.036
Ba 0.453 0.000 0.309
Ba 0.547 0.000 0.691
Ba 0.683 0.500 0.964
Ba 0.778 0.500 0.343
Ba 0.905 0.000 0.635
Ta 0.230 0.000 0.828
Ta 0.234 0.500 0.325
Ta 0.500 0.000 0.000
Ta 0.500 0.500 0.500
Ta 0.766 0.500 0.675
Ta 0.770 0.000 0.172
S 0.079 0.500 0.396
S 0.116 0.256 0.848
S 0.116 0.744 0.848
S 0.175 0.000 0.633
S 0.187 0.248 0.199
S 0.187 0.752 0.199
S 0.323 0.000 0.047
S 0.348 0.255 0.485
S 0.348 0.745 0.485
S 0.407 0.241 0.855
S 0.407 0.759 0.855
S 0.442 0.500 0.299
S 0.558 0.500 0.701
S 0.593 0.241 0.145
S 0.593 0.759 0.145
S 0.652 0.255 0.515
S 0.652 0.745 0.515
S 0.677 0.000 0.953
S 0.813 0.248 0.801
S 0.813 0.752 0.801
S 0.825 0.000 0.367
S 0.884 0.256 0.152
S 0.884 0.744 0.152
S 0.921 0.500 0.604


(14)
Tb6Pm3SmEr2: relaxed, GGA-PBE.

## Properties
Its formation enthalpy at 0 K is 0.015 eV/atom. Its magnetization is 0.000 μB/atom.

Cell: 6.198 6.198 11.862 Å, 94.98 94.98 119.97°
Fractional positions:
Tb 0.083 0.417 0.753
Tb 0.249 0.249 0.247
Tb 0.417 0.083 0.753
Tb 0.583 0.917 0.247
Tb 0.751 0.751 0.753
Tb 0.917 0.583 0.247
Pm 0.000 0.000 0.500
Pm 0.333 0.667 0.500
Pm 0.667 0.333 0.500
Sm 0.500 0.500 0.000
Er 0.167 0.833 0.000
Er 0.833 0.167 0.000


(15)
Ac3LaTl3: relaxed, GGA-PBE.

## Properties
Its formation enthalpy at 0 K is -0.239 eV/atom. Its magnetization is 0.020 μB/atom.

Cell: 8.150 8.150 7.902 Å, 90.00 90.00 88.71°
Fractional positions:
Ac 0.213 0.787 0.000
Ac 0.229 0.229 0.500
Ac 0.262 0.738 0.500
Ac 0.738 0.262 0.500
Ac 0.771 0.771 0.500
Ac 0.787 0.213 0.000
La 0.266 0.266 0.000
La 0.734 0.734 0.000
Tl 0.000 0.500 0.241
Tl 0.000 0.500 0.759
Tl 0.500 0.000 0.241
Tl 0.500 0.000 0.759
Tl 0.500 0.500 0.238
Tl 0.500 0.500 0.762


(16)
MgB6Ir5: relaxed, GGA-PBE.

## Properties
Its formation enthalpy at 0 K is -0.074 eV/atom. Its magnetization is 0.000 μB/atom.

Cell: 5.889 5.889 5.322 Å, 99.69 99.69 127.05°
Fractional positions:
Mg 0.000 0.000 0.000
B 0.108 0.721 0.627
B 0.279 0.892 0.373
B 0.438 0.438 0.818
B 0.562 0.562 0.182
B 0.721 0.108 0.627
B 0.892 0.279 0.373
Ir 0.000 0.000 0.500
Ir 0.307 0.693 0.000
Ir 0.374 0.626 0.500
Ir 0.626 0.374 0.500
Ir 0.693 0.307 0.000


(17)
K2Tl2PtO6: relaxed, GGA-PBE.

## Properties
The calculation puts the formation energy from raw total energies at -978.3 meV/atom. Its magnetization is 0.000 μB/atom.

Cell: 5.836 5.836 6.512 Å, 98.82 98.82 118.85°
Fractional positions:
K 0.168 0.832 0.000
K 0.832 0.168 0.000
Tl 0.335 0.665 0.500
Tl 0.665 0.335 0.500
Pt 0.000 0.000 0.500
O 0.056 0.353 0.678
O 0.231 0.231 0.323
O 0.353 0.056 0.678
O 0.647 0.944 0.322
O 0.769 0.769 0.677
O 0.944 0.647 0.322


(18)
La5YEr: relaxed, GGA-PBE.

## Properties
Its formation enthalpy at 0 K is 0.166 eV/atom. The calculation puts the energy above the most stable polymorph in this dataset at 34 meV/atom. Its magnetization is 0.000 μB/atom.

Cell: 9.421 9.421 9.195 Å, 93.69 93.69 141.12°
Fractional positions:
La 0.019 0.389 0.648
La 0.139 0.861 0.750
La 0.241 0.544 0.035
La 0.389 0.019 0.148
La 0.456 0.759 0.465
La 0.544 0.241 0.535
La 0.611 0.981 0.852
La 0.759 0.456 0.965
La 0.861 0.139 0.250
La 0.981 0.611 0.352
Y 0.000 0.000 0.000
Y 0.000 0.000 0.500
Er 0.490 0.510 0.750
Er 0.510 0.490 0.250


(19)
Rb4PbO3: relaxed, GGA-PBE.

## Properties
The calculation puts the formation energy from raw total energies at -1154.0 meV/atom. The calculation puts the energy above the most stable polymorph in this dataset at 0 meV/atom. Its magnetization is 0.000 μB/atom.

Cell: 6.923 12.301 20.013 Å, 90.00 90.00 90.00°
Fractional positions:
Rb 0.052 0.115 0.203
Rb 0.052 0.385 0.703
Rb 0.126 0.672 0.651
Rb 0.126 0.828 0.151
Rb 0.236 0.188 0.443
Rb 0.236 0.312 0.943
Rb 0.248 0.556 0.034
Rb 0.248 0.944 0.534
Rb 0.252 0.056 0.034
Rb 0.252 0.444 0.534
Rb 0.264 0.688 0.443
Rb 0.264 0.812 0.943
Rb 0.374 0.172 0.651
Rb 0.374 0.328 0.151
Rb 0.448 0.615 0.203
Rb 0.448 0.885 0.703
Rb 0.552 0.115 0.297
Rb 0.552 0.385 0.797
Rb 0.626 0.672 0.849
Rb 0.626 0.828 0.349
Rb 0.736 0.188 0.057
Rb 0.736 0.312 0.557
Rb 0.748 0.556 0.466
Rb 0.748 0.944 0.966
Rb 0.752 0.056 0.466
Rb 0.752 0.444 0.966
Rb 0.764 0.688 0.057
Rb 0.764 0.812 0.557
Rb 0.874 0.172 0.849
Rb 0.874 0.328 0.349
Rb 0.948 0.615 0.297
Rb 0.948 0.885 0.797
Pb 0.109 0.561 0.849
Pb 0.109 0.939 0.349
Pb 0.391 0.061 0.849
Pb 0.391 0.439 0.349
Pb 0.609 0.561 0.651
Pb 0.609 0.939 0.151
Pb 0.891 0.061 0.651
Pb 0.891 0.439 0.151
O 0.037 0.601 0.156
O 0.037 0.899 0.656
O 0.043 0.142 0.567
O 0.043 0.358 0.067
O 0.120 0.013 0.899
O 0.120 0.487 0.399
O 0.380 0.513 0.899
O 0.380 0.987 0.399
O 0.457 0.642 0.567
O 0.457 0.858 0.067
O 0.463 0.101 0.156
O 0.463 0.399 0.656
O 0.537 0.601 0.344
O 0.537 0.899 0.844
O 0.543 0.142 0.933
O 0.543 0.358 0.433
O 0.620 0.013 0.601
O 0.620 0.487 0.101
O 0.880 0.513 0.601
O 0.880 0.987 0.101
O 0.957 0.642 0.933
O 0.957 0.858 0.433
O 0.963 0.101 0.344
O 0.963 0.399 0.844